[1]
Entry from Alexandria via LeMat-Bulk: a relaxed CsBePb2 crystal (PBE-GGA).

Cell and atoms, written as extended XYZ:
```
8
Lattice="-3.263 3.263 7.635 3.263 -3.263 7.635 3.263 3.263 -7.635" Properties=species:S:1:pos:R:3 pbc="T T T"
Cs 3.263 1.631 1.909
Cs 0.000 1.631 5.726
Be 3.263 -1.631 5.726
Be 0.000 4.894 1.909
Pb 0.000 0.000 0.000
Pb 1.631 1.631 -3.817
Pb 1.631 -1.631 3.817
Pb 0.000 3.263 0.000
```

Properties
- total magnetic moment (μB/cell) = 0.00
- DOS(E_F) (states/eV/f.u.) = 2.087
- E (eV per atom) = -2.68
- space-group type = I4_1/amd, No. 141

[2]
Entry from Alexandria via LeMat-Bulk: a relaxed TbNd2SmHo2 crystal (PBE-GGA).

Cell and atoms, written as extended XYZ:
```
12
Lattice="6.610 0.000 0.000 0.000 18.101 0.000 0.000 0.000 3.402" Properties=species:S:1:pos:R:3 pbc="T T T"
Tb 0.000 0.000 0.000
Tb 3.305 9.051 1.701
Nd 1.496 3.375 0.000
Nd 1.809 12.425 1.701
Nd 4.801 5.676 1.701
Nd 5.114 14.726 0.000
Sm 0.000 9.051 0.000
Sm 3.305 0.000 1.701
Ho 1.488 6.406 1.701
Ho 1.817 15.457 0.000
Ho 4.793 2.645 0.000
Ho 5.122 11.695 1.701
```

Properties
- total magnetic moment (μB/cell) = 0.00
- DOS(E_F) (states/eV/f.u.) = 10.000
- E (eV per atom) = -4.41
- space-group type = Pnnm, No. 58